[1]
VASP calculation (PBE) on Sr2TiTl2 after structural relaxation.

Properties
E_form (eV/atom): 0.026

Cell: 7.847 7.847 5.267 Å, 90.00 90.00 90.00°
Positions (direct):
Sr1 0.169 0.331 0.000
Sr2 0.331 0.831 0.000
Sr3 0.669 0.169 0.000
Sr4 0.831 0.669 0.000
Ti1 0.000 0.000 0.500
Ti2 0.500 0.500 0.500
Tl1 0.147 0.647 0.500
Tl2 0.353 0.147 0.500
Tl3 0.647 0.853 0.500
Tl4 0.853 0.353 0.500

=====

[2]
VASP calculation (PBE) on YCdAg2 after structural relaxation.

Properties
E_form (eV/atom): -0.164

Cell: 4.558 5.900 5.900 Å, 34.58 90.00 90.00°
Positions (direct):
Y1 0.000 0.000 0.000
Cd1 0.500 0.323 0.323
Ag1 0.000 0.735 0.735
Ag2 0.500 0.592 0.592

=====

[3]
VASP calculation (PBE) on MgRh4 after structural relaxation.

Properties
Relative energy among the computed polymorphs (meV/atom): 290
E_form (eV/atom): 0.111

Cell: 6.704 6.704 6.704 Å, 148.36 148.36 45.35°
Positions (direct):
Mg1 0.000 0.000 0.000
Rh1 0.250 0.750 0.500
Rh2 0.401 0.401 0.000
Rh3 0.599 0.599 0.000
Rh4 0.750 0.250 0.500

=====

[4]
VASP calculation (PBE) on Pm4Si3Ir after structural relaxation.

Properties
Uncorrected formation energy (eV per atom): -0.76

Cell: 3.960 4.356 10.960 Å, 90.00 90.00 90.00°
Positions (direct):
Pm1 0.000 0.000 0.000
Pm2 0.000 0.500 0.493
Pm3 0.500 0.000 0.278
Pm4 0.500 0.500 0.782
Si1 0.000 0.000 0.703
Si2 0.000 0.500 0.205
Si3 0.500 0.000 0.565
Ir1 0.500 0.500 0.067

=====

[5]
VASP calculation (PBE) on Na3In5Sn2 after structural relaxation.

Properties
E_form (eV/atom): -0.067

Cell: 9.998 9.998 9.998 Å, 99.12 94.43 139.83°
Positions (direct):
Na1 0.125 0.748 0.872
Na2 0.250 0.250 0.000
Na3 0.375 0.248 0.623
Na4 0.625 0.752 0.377
Na5 0.750 0.750 0.000
Na6 0.875 0.252 0.128
In1 0.006 0.250 0.756
In2 0.131 0.364 0.495
In3 0.250 0.750 0.500
In4 0.369 0.864 0.232
In5 0.494 0.250 0.244
In6 0.506 0.750 0.756
In7 0.631 0.136 0.768
In8 0.750 0.250 0.500
In9 0.869 0.636 0.505
In10 0.994 0.750 0.244
Sn1 0.128 0.145 0.274
Sn2 0.372 0.645 0.017
Sn3 0.628 0.355 0.983
Sn4 0.872 0.855 0.726

=====

[6]
VASP calculation (PBE) on ThSbOs after structural relaxation.

Properties
Uncorrected formation energy (eV per atom): 0.07

Cell: 6.734 6.734 12.131 Å, 90.00 90.00 120.00°
Positions (direct):
Th1 0.000 0.500 0.386
Th2 0.000 0.500 0.947
Th3 0.500 0.000 0.281
Th4 0.500 0.000 0.719
Th5 0.500 0.500 0.053
Th6 0.500 0.500 0.614
Sb1 0.000 0.000 0.167
Sb2 0.000 0.000 0.500
Sb3 0.000 0.000 0.833
Sb4 0.000 0.500 0.667
Sb5 0.500 0.000 0.000
Sb6 0.500 0.500 0.333
Os1 0.224 0.612 0.167
Os2 0.388 0.612 0.833
Os3 0.388 0.776 0.500
Os4 0.612 0.224 0.500
Os5 0.612 0.388 0.833
Os6 0.776 0.388 0.167